#i
## Pm3SbRh (PBE-GGA)

Data for Pm3SbRh after structural relaxation.

a = 5.414 Å, b = 5.414 Å, c = 5.414 Å
α = 90.00°, β = 90.00°, γ = 90.00°
Space group Pm-3m (No. 221)
Unique sites:
Pm: 0.000 0.000 0.500 (multiplicity 3)
Sb: 0.500 0.500 0.500 (multiplicity 1)
Rh: 0.000 0.000 0.000 (multiplicity 1)

Calculated values
For the volume, the calculation gives 31.74 A^3/atom. The calculation puts the density of states at the Fermi level at 1.10 states/eV per atom. The value obtained for the total moment is 0.000 μB/cell. The crystal system is cubic.



#ii
## Pm3SbRh (PBE-GGA)

Data for Pm3SbRh after structural relaxation.

a = 7.996 Å, b = 4.525 Å, c = 8.557 Å
α = 90.00°, β = 113.78°, γ = 90.00°
Space group P2_1/m (No. 11)
Unique sites:
Pm: 0.046 0.250 0.239 (multiplicity 2)
Pm: 0.331 0.250 0.926 (multiplicity 2)
Pm: 0.335 0.750 0.590 (multiplicity 2)
Sb: 0.328 0.750 0.200 (multiplicity 2)
Rh: 0.079 0.250 0.600 (multiplicity 2)

Calculated values
For the volume, the calculation gives 28.33 A^3/atom. The calculation puts the density of states at the Fermi level at 0.91 states/eV per atom. The value obtained for the total moment is 0.000 μB/cell. The crystal system is monoclinic.



Which structure is most stable? #ii, by 25.7 kJ/mol of atoms over the runner-up.



#i
## PmSb2Rh (PBE-GGA)

Data for PmSb2Rh after structural relaxation.

a = 7.179 Å, b = 7.179 Å, c = 7.179 Å
α = 90.00°, β = 90.00°, γ = 90.00°
Space group Fm-3m (No. 225)
Unique sites:
Pm: 0.000 0.000 0.000 (multiplicity 4)
Sb: 0.250 0.250 0.250 (multiplicity 8)
Rh: 0.000 0.000 0.500 (multiplicity 4)

Calculated values
For the volume, the calculation gives 23.12 A^3/atom. The calculation puts the density of states at the Fermi level at 1.56 states/eV per atom. The value obtained for the total moment is 0.004 μB/cell. The crystal system is cubic.



#ii
## PmSb2Rh (PBE-GGA)

Data for PmSb2Rh after structural relaxation.

a = 4.3121 Å, b = 4.3121 Å, c = 18.0112 Å
α = 90.00°, β = 90.00°, γ = 120.00°
Space group R-3m (No. 166, hexagonal axes)
Unique sites:
Pm: 0.0000 0.0000 0.0000 (multiplicity 3)
Sb: 0.0000 0.0000 0.2292 (multiplicity 6)
Rh: 0.0000 0.0000 0.5000 (multiplicity 3)

Calculated values
For the volume, the calculation gives 24.17 A^3/atom. The calculation puts the density of states at the Fermi level at 0.25 states/eV per atom. The value obtained for the total moment is 0.000 μB/cell. The crystal system is trigonal.



Which structure is most stable? #ii, by 34.1 kJ/mol of atoms over the runner-up.